Density functional theory data (PBE-GGA) for a relaxed structure of Sr2TlOs.

Output
As for the space-group type: Imm2, No. 44. As for the energy relative to the elements: 0.377 eV per atom. The energy above the most stable polymorph in this dataset is 64 meV/atom.

a b c (Å): 6.602 6.602 6.602
angles (deg): 147.11 131.36 59.97
Fractional positions:
Os (0.270, 0.770, 0.500)
Sr (0.045, 0.045, 0.000)
Sr (0.739, 0.239, 0.500)
Tl (0.446, 0.446, 0.000)